A relaxed Ba2CaCuHg2O6 crystal, computed with GGA-PBE.

Output
* DOS(E_F): 5.7 states/eV/f.u.
* electronic total energy: -57.2 eV per cell
* energy relative to the elements, uncorrected: -136 kJ/mol of atoms

a = 4.264 Å, b = 4.264 Å, c = 12.031 Å
α = 90.00°, β = 90.00°, γ = 90.00°
Atoms (fractional coordinates):
O 0.500 0.000 0.629
O 0.000 0.500 0.629
O 0.500 0.000 0.371
O 0.000 0.500 0.371
O 0.000 0.000 0.150
O 0.000 0.000 0.850
Ba 0.500 0.500 0.195
Ba 0.500 0.500 0.805
Ca 0.500 0.500 0.500
Hg 0.000 0.000 0.639
Hg 0.000 0.000 0.361
Cu 0.000 0.000 0.000

=====

A relaxed Ba2CaCuI crystal, computed with GGA-PBE.

Output
* DOS(E_F): 8.6 states/eV/f.u.
* electronic total energy: -10.9 eV per cell
* energy relative to the elements, uncorrected: 12 kJ/mol of atoms

a = 6.989 Å, b = 4.983 Å, c = 6.989 Å
α = 90.00°, β = 90.00°, γ = 90.00°
Atoms (fractional coordinates):
Cu 0.000 0.500 0.000
Ba 0.500 0.000 0.000
Ba 0.000 0.000 0.500
I 0.500 0.500 0.500
Ca 0.000 0.000 0.000

=====

A relaxed BaCaIn2Cu crystal, computed with GGA-PBE.

Output
* DOS(E_F): 4.0 states/eV/f.u.
* electronic total energy: -14.3 eV per cell
* calculated formation energy: -0.8 eV/f.u.

a = 5.256 Å, b = 5.256 Å, c = 5.475 Å
α = 90.00°, β = 90.00°, γ = 90.00°
Atoms (fractional coordinates):
Ca 0.000 0.000 0.500
Cu 0.000 0.000 0.000
Ba 0.500 0.500 0.500
In 0.500 0.000 0.000
In 0.000 0.500 0.000

=====

A relaxed Ba2CaInCu crystal, computed with GGA-PBE.

Output
* DOS(E_F): 3.9 states/eV/f.u.
* electronic total energy: -13.0 eV per cell
* calculated formation energy: -0.3 eV/f.u.

a = 6.288 Å, b = 6.288 Å, c = 5.072 Å
α = 90.00°, β = 90.00°, γ = 90.00°
Atoms (fractional coordinates):
Cu 0.000 0.000 0.000
Ba 0.000 0.500 0.000
Ba 0.500 0.000 0.000
In 0.000 0.000 0.500
Ca 0.500 0.500 0.500

=====

A relaxed KBa2CaCu crystal, computed with GGA-PBE.

Output
* energy above the most stable polymorph in this dataset: 0.00 eV per formula unit
* DOS(E_F): 4.6 states/eV/f.u.
* electronic total energy: -10.8 eV per cell
* calculated formation energy: 0.2 eV/f.u.

a = 6.478 Å, b = 6.478 Å, c = 5.957 Å
α = 90.00°, β = 90.00°, γ = 90.00°
Atoms (fractional coordinates):
Ba 0.000 0.500 0.000
Ba 0.500 0.000 0.000
Cu 0.000 0.000 0.000
K 0.500 0.500 0.500
Ca 0.000 0.000 0.500

=====

A relaxed KBa2CaCu crystal, computed with GGA-PBE.

Output
* energy above the most stable polymorph in this dataset: 0.59 eV per formula unit
* DOS(E_F): 4.2 states/eV/f.u.
* electronic total energy: -10.2 eV per cell
* calculated formation energy: 0.8 eV/f.u.

a = 6.355 Å, b = 6.355 Å, c = 6.395 Å
α = 90.00°, β = 90.00°, γ = 90.00°
Atoms (fractional coordinates):
Ba 0.500 0.000 0.000
Ba 0.000 0.500 0.000
K 0.000 0.000 0.500
Ca 0.500 0.500 0.500
Cu 0.000 0.000 0.000

=====

A relaxed Ba2CaLaCu crystal, computed with GGA-PBE.

Output
* DOS(E_F): 7.5 states/eV/f.u.
* electronic total energy: -14.2 eV per cell
* calculated formation energy: 0.7 eV/f.u.

a = 6.411 Å, b = 6.411 Å, c = 5.654 Å
α = 90.00°, β = 90.00°, γ = 90.00°
Atoms (fractional coordinates):
La 0.000 0.000 0.500
Ba 0.500 0.000 0.000
Ba 0.000 0.500 0.000
Ca 0.500 0.500 0.500
Cu 0.000 0.000 0.000

=====

A relaxed BaCa2LaCu crystal, computed with GGA-PBE.

Output
* energy above the most stable polymorph in this dataset: 5.83 eV per formula unit
* DOS(E_F): 7.2 states/eV/f.u.
* electronic total energy: -9.0 eV per cell
* calculated formation energy: 5.9 eV/f.u.

a = 5.926 Å, b = 5.779 Å, c = 5.926 Å
α = 90.00°, β = 90.00°, γ = 90.00°
Atoms (fractional coordinates):
Ca 0.500 0.000 0.000
Ca 0.000 0.000 0.500
Ba 0.000 0.000 0.000
La 0.000 0.500 0.000
Cu 0.500 0.500 0.500

=====

A relaxed BaCa2LaCu crystal, computed with GGA-PBE.

Output
* energy above the most stable polymorph in this dataset: 0.00 eV per formula unit
* DOS(E_F): 6.1 states/eV/f.u.
* electronic total energy: -14.8 eV per cell
* calculated formation energy: 0.1 eV/f.u.

a = 5.910 Å, b = 5.910 Å, c = 5.663 Å
α = 90.00°, β = 90.00°, γ = 90.00°
Atoms (fractional coordinates):
Cu 0.000 0.000 0.000
Ca 0.500 0.000 0.000
Ca 0.000 0.500 0.000
Ba 0.500 0.500 0.500
La 0.000 0.000 0.500

=====

A relaxed Ba3CaLa2Cu6O13 crystal, computed with GGA-PBE.

Output
* energy above the most stable polymorph in this dataset: 0.20 eV per formula unit
* DOS(E_F): 7.6 states/eV/f.u.
* electronic total energy: -152.4 eV per cell
* energy relative to the elements, uncorrected: -177 kJ/mol of atoms

a = 5.571 Å, b = 5.571 Å, c = 12.388 Å
α = 77.99°, β = 77.99°, γ = 91.01°
Atoms (fractional coordinates):
Cu 0.324 0.826 0.342
Cu 0.826 0.324 0.342
Cu 0.182 0.681 0.644
Cu 0.981 0.514 0.008
Cu 0.514 0.981 0.008
Cu 0.681 0.182 0.644
O 0.439 0.938 0.629
O 0.060 0.060 0.365
O 0.577 0.097 0.855
O 0.939 0.939 0.632
O 0.923 0.336 0.153
O 0.097 0.577 0.855
O 0.775 0.775 0.036
O 0.336 0.923 0.153
O 0.438 0.438 0.629
O 0.938 0.439 0.629
O 0.064 0.565 0.362
O 0.565 0.064 0.362
O 0.575 0.575 0.354
Ba 0.094 0.094 0.817
Ba 0.605 0.605 0.809
Ba 0.407 0.407 0.183
La 0.251 0.251 0.496
La 0.752 0.752 0.495
Ca 0.907 0.907 0.199

=====

A relaxed Ba3CaLa2Cu6O13 crystal, computed with GGA-PBE.

Output
* energy above the most stable polymorph in this dataset: 0.00 eV per formula unit
* DOS(E_F): 5.1 states/eV/f.u.
* electronic total energy: -152.6 eV per cell
* energy relative to the elements, uncorrected: -177 kJ/mol of atoms

a = 5.537 Å, b = 5.537 Å, c = 11.964 Å
α = 89.49°, β = 89.49°, γ = 90.79°
Atoms (fractional coordinates):
O 0.741 0.252 0.641
O 0.503 0.916 0.848
O 0.252 0.741 0.641
O 0.741 0.741 0.633
O 0.005 0.519 0.145
O 0.254 0.254 0.644
O 0.916 0.503 0.848
O 0.519 0.005 0.145
O 0.252 0.754 0.375
O 0.253 0.253 0.373
O 0.754 0.754 0.371
O 0.754 0.252 0.375
O 0.291 0.291 0.960
La 0.502 0.502 0.789
La 0.000 0.000 0.505
Cu 0.997 0.498 0.645
Cu 0.486 0.016 0.994
Cu 0.003 0.504 0.364
Cu 0.016 0.486 0.994
Cu 0.504 0.003 0.364
Cu 0.498 0.997 0.645
Ba 0.008 0.008 0.196
Ba 0.999 0.999 0.814
Ba 0.503 0.503 0.194
Ca 0.501 0.501 0.497

=====

A relaxed BaLiCa2Cu crystal, computed with GGA-PBE.

Output
* energy above the most stable polymorph in this dataset: 0.00 eV per formula unit
* DOS(E_F): 2.7 states/eV/f.u.
* electronic total energy: -11.7 eV per cell
* calculated formation energy: 0.3 eV/f.u.

a = 5.704 Å, b = 5.704 Å, c = 6.174 Å
α = 90.00°, β = 90.00°, γ = 90.00°
Atoms (fractional coordinates):
Cu 0.000 0.000 0.000
Ca 0.000 0.500 0.000
Ca 0.500 0.000 0.000
Ba 0.000 0.000 0.500
Li 0.500 0.500 0.500